Below is LaCd2Rh after structural relaxation, with properties calculated at the GGA-PBE level.

Summary:
calculated density = 8.51 Mg/m³
SG = F-43m
energy relative to the elements = -277 meV/atom
density of states at the Fermi level = 3.4 states/eV per cell
calculated volume = 22.775 A^3/atom

Cell and atoms, written as CIF:
```
data_LaCd2Rh
_cell_length_a 5.051
_cell_length_b 5.051
_cell_length_c 5.051
_cell_angle_alpha 60.00
_cell_angle_beta 60.00
_cell_angle_gamma 60.00
_space_group_name_H-M_alt 'P 1'
_space_group_IT_number 1
loop_
_space_group_symop_operation_xyz
'x,y,z'
loop_
_atom_site_label
_atom_site_type_symbol
_atom_site_fract_x
_atom_site_fract_y
_atom_site_fract_z
La1 La 0.000 0.000 0.000
Cd1 Cd 0.500 0.500 0.500
Cd2 Cd 0.750 0.750 0.750
Rh1 Rh 0.250 0.250 0.250
```


Below is KRbH4Pd after structural relaxation, with properties calculated at the GGA-PBE level.

Summary:
calculated density = 3.71 Mg/m³
calculated total energy = -3.1365 eV/atom
SG = Cmcm
density of states at the Fermi level = 0.6 states/eV per cell
calculated volume = 15.015 A^3/atom

Cell and atoms, written as CIF:
```
data_KRbH4Pd
_cell_length_a 7.221
_cell_length_b 7.221
_cell_length_c 5.604
_cell_angle_alpha 90.00
_cell_angle_beta 90.00
_cell_angle_gamma 134.00
_space_group_name_H-M_alt 'P 1'
_space_group_IT_number 1
loop_
_space_group_symop_operation_xyz
'x,y,z'
loop_
_atom_site_label
_atom_site_type_symbol
_atom_site_fract_x
_atom_site_fract_y
_atom_site_fract_z
K1 K 0.116 0.884 0.750
K2 K 0.884 0.116 0.250
Rb1 Rb 0.399 0.601 0.750
Rb2 Rb 0.601 0.399 0.250
H1 H 0.000 0.500 0.000
H2 H 0.000 0.500 0.500
H3 H 0.119 0.881 0.250
H4 H 0.377 0.623 0.250
H5 H 0.500 0.000 0.000
H6 H 0.500 0.000 0.500
H7 H 0.623 0.377 0.750
H8 H 0.881 0.119 0.750
Pd1 Pd 0.249 0.751 0.250
Pd2 Pd 0.751 0.249 0.750
```


Below is FeAsRu after structural relaxation, with properties calculated at the GGA-PBE level.

Summary:
calculated density = 8.81 Mg/m³
SG = Fmm2
energy relative to the elements = 363 meV/atom
density of states at the Fermi level = 3.7 states/eV per cell
calculated volume = 14.560 A^3/atom

Cell and atoms, written as CIF:
```
data_FeAsRu
_cell_length_a 6.498
_cell_length_b 6.243
_cell_length_c 2.813
_cell_angle_alpha 82.37
_cell_angle_beta 72.22
_cell_angle_gamma 25.41
_space_group_name_H-M_alt 'P 1'
_space_group_IT_number 1
loop_
_space_group_symop_operation_xyz
'x,y,z'
loop_
_atom_site_label
_atom_site_type_symbol
_atom_site_fract_x
_atom_site_fract_y
_atom_site_fract_z
Fe1 Fe 0.000 0.000 0.000
As1 As 0.335 0.335 0.665
Ru1 Ru 0.667 0.667 0.333
```


Below is YErRh after structural relaxation, with properties calculated at the GGA-PBE level.

Summary:
calculated density = 7.68 Mg/m³
SG = P2_1/m
energy relative to the elements = -580 meV/atom
density of states at the Fermi level = 6.2 states/eV per cell
calculated volume = 25.878 A^3/atom

Cell and atoms, written as CIF:
```
data_YErRh
_cell_length_a 5.544
_cell_length_b 4.585
_cell_length_c 6.367
_cell_angle_alpha 90.00
_cell_angle_beta 106.37
_cell_angle_gamma 90.00
_space_group_name_H-M_alt 'P 1'
_space_group_IT_number 1
loop_
_space_group_symop_operation_xyz
'x,y,z'
loop_
_atom_site_label
_atom_site_type_symbol
_atom_site_fract_x
_atom_site_fract_y
_atom_site_fract_z
Y1 Y 0.078 0.250 0.289
Y2 Y 0.922 0.750 0.711
Er1 Er 0.472 0.250 0.807
Er2 Er 0.528 0.750 0.193
Rh1 Rh 0.351 0.750 0.565
Rh2 Rh 0.649 0.250 0.435
```


Below is Pm6P3S2Br after structural relaxation, with properties calculated at the GGA-PBE level.

Summary:
calculated density = 6.16 Mg/m³
uncorrected formation energy = -20.8 eV/f.u.
SG = C2/m
density of states at the Fermi level = 4.5 states/eV per cell
calculated volume = 24.857 A^3/atom

Cell and atoms, written as CIF:
```
data_Pm6P3S2Br
_cell_length_a 9.252
_cell_length_b 9.252
_cell_length_c 8.312
_cell_angle_alpha 103.63
_cell_angle_beta 103.63
_cell_angle_gamma 25.59
_space_group_name_H-M_alt 'P 1'
_space_group_IT_number 1
loop_
_space_group_symop_operation_xyz
'x,y,z'
loop_
_atom_site_label
_atom_site_type_symbol
_atom_site_fract_x
_atom_site_fract_y
_atom_site_fract_z
Pm1 Pm 0.001 0.001 0.224
Pm2 Pm 0.323 0.323 0.417
Pm3 Pm 0.335 0.335 0.912
Pm4 Pm 0.665 0.665 0.088
Pm5 Pm 0.677 0.677 0.583
Pm6 Pm 0.999 0.999 0.776
P1 P 0.163 0.163 0.333
P2 P 0.500 0.500 0.000
P3 P 0.837 0.837 0.667
S1 S 0.166 0.166 0.831
S2 S 0.834 0.834 0.169
Br1 Br 0.500 0.500 0.500
```


Below is Nd2Al4CuPt3 after structural relaxation, with properties calculated at the GGA-PBE level.

Summary:
calculated density = 9.08 Mg/m³
SG = P-4m2
energy relative to the elements = -959 meV/atom
density of states at the Fermi level = 7.3 states/eV per cell
calculated volume = 19.123 A^3/atom

Cell and atoms, written as CIF:
```
data_Nd2Al4CuPt3
_cell_length_a 4.263
_cell_length_b 4.263
_cell_length_c 10.520
_cell_angle_alpha 90.00
_cell_angle_beta 90.00
_cell_angle_gamma 90.00
_space_group_name_H-M_alt 'P 1'
_space_group_IT_number 1
loop_
_space_group_symop_operation_xyz
'x,y,z'
loop_
_atom_site_label
_atom_site_type_symbol
_atom_site_fract_x
_atom_site_fract_y
_atom_site_fract_z
Nd1 Nd 0.000 0.500 0.249
Nd2 Nd 0.500 0.000 0.751
Al1 Al 0.000 0.000 0.000
Al2 Al 0.000 0.500 0.626
Al3 Al 0.500 0.000 0.374
Al4 Al 0.500 0.500 0.000
Cu1 Cu 0.000 0.000 0.500
Pt1 Pt 0.000 0.500 0.866
Pt2 Pt 0.500 0.000 0.134
Pt3 Pt 0.500 0.500 0.500
```